P | Density functional theory data (PBE) for an optimized crystal structure of TcRh2Au.

a = 9.2861 Å, b = 9.2861 Å, c = 9.2861 Å
α = 17.19°, β = 17.19°, γ = 17.19°
Last column: magnetic moment on the atom in μB.
Element x y z (fractional)
Tc  0.5056  0.5056  0.5056  -0.05
Rh  0.2475  0.2475  0.2475  0.06
Rh  0.9965  0.9965  0.9965  0.53
Au  0.7504  0.7504  0.7504  0.00

Output
The calculation puts the total magnetization at 0.53 Bohr magnetons per cell.

---

Q | Density functional theory data (PBE) for an optimized crystal structure of TcRh2Au.

a = 9.2233 Å, b = 9.2233 Å, c = 9.2233 Å
α = 17.36°, β = 17.36°, γ = 17.36°
Element x y z (fractional)
Rh  0.9940  0.9940  0.9940
Tc  0.2500  0.2500  0.2500
Au  0.7500  0.7500  0.7500
Rh  0.5060  0.5060  0.5060

Output
The calculation puts the total magnetization at 0.00 Bohr magnetons per cell.

---

R | Density functional theory data (PBE) for an optimized crystal structure of TcRh2Au.

a = 3.8264 Å, b = 2.7795 Å, c = 6.3282 Å
α = 63.87°, β = 90.00°, γ = 90.00°
Element x y z (fractional)
Rh  0.0000  0.5184  0.4822
Rh  0.0000  0.9816  0.0178
Tc  0.5000  0.2500  0.2500
Au  0.5000  0.7500  0.7500

Output
The calculation puts the total magnetization at 0.00 Bohr magnetons per cell.

---

Verdict on stability: Q comes out on top.

---

P | Density functional theory data (PBE) for an optimized crystal structure of TcRh2Au.

a = 4.4450 Å, b = 4.4450 Å, c = 4.4450 Å
α = 60.00°, β = 60.00°, γ = 60.00°
Last column: magnetic moment on the atom in μB.
Element x y z (fractional)
Tc  0.0000  0.0000  0.0000  1.43
Rh  0.7500  0.7500  0.7500  0.31
Rh  0.2500  0.2500  0.2500  0.31
Au  0.5000  0.5000  0.5000  -0.02

Output
The calculation puts the total magnetization at 2.09 Bohr magnetons per cell.

---

Q | Density functional theory data (PBE) for an optimized crystal structure of TcRh2Au.

a = 2.7547 Å, b = 2.7547 Å, c = 7.9685 Å
α = 90.00°, β = 90.00°, γ = 90.00°
Element x y z (fractional)
Rh  0.0000  0.0000  0.0110
Rh  0.5000  0.5000  0.2555
Au  0.5000  0.5000  0.7486
Tc  0.0000  0.0000  0.4848

Output
The calculation puts the total magnetization at 0.00 Bohr magnetons per cell.

---

R | Density functional theory data (PBE) for an optimized crystal structure of TcRh2Au.

a = 2.7748 Å, b = 2.7748 Å, c = 7.8884 Å
α = 90.00°, β = 90.00°, γ = 90.00°
Element x y z (fractional)
Tc  0.5000  0.5000  0.2500
Au  0.5000  0.5000  0.7500
Rh  0.0000  0.0000  0.4787
Rh  0.0000  0.0000  0.0213

Output
The calculation puts the total magnetization at 0.00 Bohr magnetons per cell.

---

S | Density functional theory data (PBE) for an optimized crystal structure of TcRh2Au.

a = 4.8132 Å, b = 4.8132 Å, c = 4.7857 Å
α = 80.17°, β = 80.17°, γ = 33.66°
Element x y z (fractional)
Au  0.2493  0.2493  0.2448
Tc  0.4947  0.4947  0.5235
Rh  0.0036  0.0036  0.9961
Rh  0.7524  0.7524  0.7356

Output
The calculation puts the total magnetization at 0.00 Bohr magnetons per cell.

---

Verdict on stability: R comes out on top.

---

P | Density functional theory data (PBE) for an optimized crystal structure of TcRh2Au.

a = 7.0379 Å, b = 7.0379 Å, c = 5.6817 Å
α = 51.73°, β = 51.73°, γ = 90.00°
Element x y z (fractional)
Au  0.0000  0.0000  0.0000
Tc  0.2500  0.7500  0.5000
Au  0.7500  0.2500  0.5000
Tc  0.5000  0.5000  0.0000
Rh  0.3750  0.4137  0.7500
Rh  0.5863  0.1250  0.2500
Rh  0.1637  0.6250  0.2500
Rh  0.8750  0.8363  0.7500

Output
The calculation puts the total magnetization at 0.00 Bohr magnetons per cell.

---

Q | Density functional theory data (PBE) for an optimized crystal structure of TcRh2Au.

a = 4.7993 Å, b = 4.7993 Å, c = 4.7993 Å
α = 131.87°, β = 131.84°, γ = 70.46°
Element x y z (fractional)
Tc  0.7500  0.2500  0.5000
Rh  0.0000  0.0000  0.0000
Au  0.2500  0.7500  0.5000
Rh  0.5000  0.5000  0.0000

Output
The calculation puts the total magnetization at 0.01 Bohr magnetons per cell.

---

R | Density functional theory data (PBE) for an optimized crystal structure of TcRh2Au.

a = 3.9763 Å, b = 3.9767 Å, c = 3.8534 Å
α = 90.00°, β = 90.00°, γ = 90.00°
Last column: magnetic moment on the atom in μB.
Element x y z (fractional)
Rh  0.0000  0.0000  0.0000  0.28
Tc  0.5000  0.0000  0.5000  1.28
Rh  0.5000  0.5000  0.0000  0.28
Au  0.0000  0.5000  0.5000  0.08

Output
The calculation puts the total magnetization at 2.02 Bohr magnetons per cell.

---

Verdict on stability: Q comes out on top.